Record 1
Compound: BaAlOF2
Source: the Alexandria database
Functional: PBE
Structure: relaxed

Lattice parameters (Å, degrees): 5.0853 5.0853 4.5651 90.00 90.00 90.00
With the nearest neighbours (Å) after each atom.
Sites, in units of the cell vectors:
F  0.5000  0.0000  0.0000  2 Ba 2.54
F  0.0000  0.5000  0.0000  2 Ba 2.54
Al  0.5000  0.5000  0.5000  8 F 3.42, 4 O 3.60
O  0.0000  0.0000  0.5000  2 Ba 2.28
Ba  0.0000  0.0000  0.0000  2 O 2.28, 4 F 2.54

Computed properties:
total energy = -4.4929 eV per atom
crystal system = tetragonal
calculated density = 3.07 g/cm3
ΔE_f (raw) = -1619.7 meV per atom

***

Record 2
Compound: BaAlOF2
Source: the Alexandria database
Functional: PBE
Structure: relaxed

Lattice parameters (Å, degrees): 4.4947 4.4947 3.7280 90.00 90.00 90.00
With the nearest neighbours (Å) after each atom.
Sites, in units of the cell vectors:
F  0.5000  0.0000  0.0000  2 Al 2.25
F  0.0000  0.5000  0.0000  2 Al 2.25
Al  0.0000  0.0000  0.0000  2 O 1.86
Ba  0.5000  0.5000  0.5000  8 F 2.92, 4 O 3.18
O  0.0000  0.0000  0.5000  2 Al 1.86

Computed properties:
total energy = -5.5496 eV per atom
crystal system = tetragonal
calculated density = 4.81 g/cm3
ΔE_f (raw) = -2676.3 meV per atom

***

Record 3
Compound: Ba4TiAl3P4O20F4
Source: the Alexandria database
Functional: PBE
Structure: relaxed

Lattice parameters (Å, degrees): 5.2555 7.0624 12.9166 90.05 90.21 101.91
With the nearest neighbours (Å) after each atom.
Sites, in units of the cell vectors:
Ba  0.5455  0.6918  0.3020  2 F 2.69-2.88, 6 O 2.78-3.01
Ba  0.0485  0.1908  0.1962  2 F 2.70-2.88, 7 O 2.77-3.02
Ba  0.9515  0.8092  0.8038  2 F 2.70-2.88, 7 O 2.77-3.02
Ba  0.4545  0.3082  0.6980  2 F 2.69-2.88, 6 O 2.78-3.01
O  0.7931  0.5709  0.0871  1 P 1.56
O  0.1513  0.8481  0.0200  1 P 1.56
O  0.3050  0.0618  0.4065  1 P 1.56
O  0.2669  0.5580  0.1127  1 P 1.57
O  0.4362  0.7004  0.7185  1 P 1.53
O  0.3507  0.6500  0.5251  1 P 1.55
O  0.8487  0.1519  0.9800  1 P 1.56
O  0.5638  0.2996  0.2815  1 P 1.53
O  0.6950  0.9382  0.5935  1 P 1.56
O  0.9241  0.7375  0.4565  1 Al 1.89, 1 Ti 1.90
O  0.9360  0.2023  0.7869  1 P 1.53
O  0.0640  0.7977  0.2131  1 P 1.53
O  0.5786  0.7598  0.9585  2 Al 1.87-1.90
O  0.2069  0.4291  0.9129  1 P 1.56
O  0.2279  0.9374  0.6182  1 P 1.58
O  0.0759  0.2625  0.5435  1 Al 1.89, 1 Ti 1.90
O  0.6493  0.3500  0.4749  1 P 1.55
O  0.4214  0.2402  0.0415  2 Al 1.87-1.90
O  0.7331  0.4420  0.8873  1 P 1.57
O  0.7721  0.0626  0.3818  1 P 1.58
F  0.4056  0.0356  0.8663  1 Al 1.83
F  0.1027  0.4588  0.3670  1 Al 1.84
F  0.8973  0.5412  0.6330  1 Al 1.84
F  0.5944  0.9644  0.1337  1 Al 1.83
Al  0.5000  0.0000  0.0000  2 F 1.83, 4 O 1.90-1.94
Al  0.5000  0.5000  0.0000  6 O 1.87-2.00
Al  0.0000  0.5000  0.5000  2 F 1.84, 4 O 1.89-1.95
P  0.9307  0.3028  0.8918  4 O 1.53-1.57
P  0.4286  0.7993  0.6135  4 O 1.53-1.58
P  0.0693  0.6972  0.1082  4 O 1.53-1.57
P  0.5714  0.2007  0.3865  4 O 1.53-1.58
Ti  0.0000  0.0000  0.5000  6 O 1.90-2.04

Computed properties:
total energy = -7.0591 eV per atom
crystal system = triclinic
calculated density = 4.24 g/cm3
ΔE_f (raw) = -2750.7 meV per atom

***

Record 4
Compound: BaSr11Al4O16F4
Source: the Alexandria database
Functional: PBE
Structure: relaxed

Lattice parameters (Å, degrees): 6.8745 6.8745 11.2648 90.00 90.00 90.00
With the nearest neighbours (Å) after each atom.
Sites, in units of the cell vectors:
Sr  0.6699  0.1682  0.7486  6 O 2.48-2.74, 2 F 2.55-2.56
Sr  0.8318  0.3301  0.2514  6 O 2.48-2.74, 2 F 2.55-2.56
Sr  0.3301  0.1682  0.2514  6 O 2.48-2.74, 2 F 2.55-2.56
Sr  0.8318  0.6699  0.7486  6 O 2.48-2.74, 2 F 2.55-2.56
Sr  0.3301  0.8318  0.7486  6 O 2.48-2.74, 2 F 2.55-2.56
Sr  0.6699  0.8318  0.2514  6 O 2.48-2.74, 2 F 2.55-2.56
Sr  0.1682  0.6699  0.2514  6 O 2.48-2.74, 2 F 2.55-2.56
Sr  0.0000  0.0000  0.0000  2 F 2.86, 8 O 2.87
Sr  0.5000  0.5000  0.5000  2 F 2.74, 8 O 2.89
Sr  0.1682  0.3301  0.7486  6 O 2.48-2.74, 2 F 2.55-2.56
Sr  0.0000  0.0000  0.5000  2 F 2.78, 8 O 2.88
O  0.3556  0.1372  0.8969  1 Al 1.80
O  0.6444  0.1372  0.1031  1 Al 1.80
O  0.6444  0.8628  0.8969  1 Al 1.80
O  0.6421  0.8590  0.6018  1 Al 1.79
O  0.1372  0.6444  0.8969  1 Al 1.80
O  0.8590  0.3579  0.6018  1 Al 1.79
O  0.1372  0.3556  0.1031  1 Al 1.80
O  0.1410  0.3579  0.3982  1 Al 1.79
O  0.6421  0.1410  0.3982  1 Al 1.79
O  0.8590  0.6421  0.3982  1 Al 1.79
O  0.3556  0.8628  0.1031  1 Al 1.80
O  0.3579  0.8590  0.3982  1 Al 1.79
O  0.8628  0.3556  0.8969  1 Al 1.80
O  0.3579  0.1410  0.6018  1 Al 1.79
O  0.1410  0.6421  0.6018  1 Al 1.79
O  0.8628  0.6444  0.1031  1 Al 1.80
F  0.0000  0.0000  0.2536  5 Sr 2.55-2.78
F  0.5000  0.5000  0.2568  5 Sr 2.56-2.74
F  0.5000  0.5000  0.7432  5 Sr 2.56-2.74
F  0.0000  0.0000  0.7464  5 Sr 2.55-2.78
Al  0.5000  0.0000  0.0000  4 O 1.80
Al  0.5000  0.0000  0.5000  4 O 1.79
Al  0.0000  0.5000  0.5000  4 O 1.79
Al  0.0000  0.5000  0.0000  4 O 1.80
Ba  0.5000  0.5000  0.0000  2 F 2.89, 8 O 2.92

Computed properties:
total energy = -6.4611 eV per atom
crystal system = tetragonal
calculated density = 4.81 g/cm3
ΔE_f (raw) = -3066.4 meV per atom

***

Record 5
Compound: BaAlPF2
Source: the Alexandria database
Functional: PBE
Structure: relaxed

Lattice parameters (Å, degrees): 4.5601 6.2496 4.5601 90.00 90.00 90.00
With the nearest neighbours (Å) after each atom.
Sites, in units of the cell vectors:
F  0.5000  0.0000  0.0000  2 P 2.28
F  0.0000  0.0000  0.5000  2 P 2.28
Al  0.5000  0.5000  0.5000  4 Ba 3.22
Ba  0.0000  0.5000  0.0000  2 P 3.12, 4 Al 3.22
P  0.0000  0.0000  0.0000  4 F 2.28

Computed properties:
total energy = -3.4070 eV per atom
crystal system = tetragonal
calculated density = 2.98 g/cm3
ΔE_f (raw) = -443.4 meV per atom

***

Record 6
Compound: BaAlPd2F
Source: the Alexandria database
Functional: PBE
Structure: relaxed

Lattice parameters (Å, degrees): 5.4336 3.5974 5.4336 90.00 90.00 90.00
With the nearest neighbours (Å) after each atom.
Sites, in units of the cell vectors:
F  0.0000  0.0000  0.0000  2 Al 1.80
Ba  0.5000  0.5000  0.5000  8 Pd 3.26, 2 Ba 3.60
Pd  0.0000  0.0000  0.5000  2 F 2.72
Pd  0.5000  0.0000  0.0000  2 F 2.72
Al  0.0000  0.5000  0.0000  2 F 1.80

Computed properties:
total energy = -4.1199 eV per atom
crystal system = tetragonal
calculated density = 6.19 g/cm3
ΔE_f (raw) = -535.4 meV per atom

***

Record 7
Compound: Rb2BaAlF8
Source: the Alexandria database
Functional: PBE
Structure: relaxed

Lattice parameters (Å, degrees): 6.0179 6.0179 6.9560 90.00 90.00 120.00
With the nearest neighbours (Å) after each atom.
Sites, in units of the cell vectors:
Rb  0.6667  0.3333  0.1222  4 F 2.60-2.81
Rb  0.3333  0.6667  0.8778  4 F 2.60-2.81
F  0.6667  0.3333  0.4967  1 Rb 2.60
F  0.8600  0.1400  0.8407  1 Al 1.83
F  0.1400  0.2801  0.1593  1 Al 1.83
F  0.7199  0.8600  0.1593  1 Al 1.83
F  0.2801  0.1400  0.8407  1 Al 1.83
F  0.3333  0.6667  0.5033  1 Rb 2.60
F  0.8600  0.7199  0.8407  1 Al 1.83
F  0.1400  0.8600  0.1593  1 Al 1.83
Ba  0.0000  0.0000  0.5000  6 F 2.78
Al  0.0000  0.0000  0.0000  6 F 1.83

Computed properties:
total energy = -4.8885 eV per atom
crystal system = trigonal
calculated density = 3.71 g/cm3
ΔE_f (raw) = -3007.6 meV per atom

***

Record 8
Compound: RbBaAl2F8
Source: the Alexandria database
Functional: PBE
Structure: relaxed

Lattice parameters (Å, degrees): 5.7457 5.7457 9.2842 90.00 90.00 120.00
With the nearest neighbours (Å) after each atom.
Sites, in units of the cell vectors:
F  0.1805  0.8410  0.7302  1 Al 1.71
F  0.6605  0.8195  0.7302  1 Al 1.71
F  0.1590  0.3395  0.7302  1 Al 1.71
F  0.6667  0.3333  0.0321  1 Al 1.70
F  0.8195  0.1590  0.2698  1 Al 1.71
F  0.3333  0.6667  0.9679  1 Al 1.70
F  0.8410  0.6605  0.2698  1 Al 1.71
F  0.3395  0.1805  0.2698  1 Al 1.71
Al  0.6667  0.3333  0.2154  4 F 1.70-1.71
Al  0.3333  0.6667  0.7846  4 F 1.70-1.71
Rb  0.0000  0.0000  0.0000  12 F 3.02-3.33
Ba  0.0000  0.0000  0.5000  6 F 2.72

Computed properties:
total energy = -5.3957 eV per atom
crystal system = trigonal
calculated density = 2.68 g/cm3
ΔE_f (raw) = -3283.6 meV per atom